No. 1
## LiGaSeN2 (PBEsol)

Data for LiGaSeN2 after structural relaxation.

Unit cell a=3.6712 b=3.6712 c=4.8420 alpha=90.00 beta=90.00 gamma=90.00
Space group P4/mmm (No. 123)
Inequivalent atoms, fractional coordinates:
1 Li 0.0000 0.0000 0.0000 (multiplicity 1)
2 Ga 0.5000 0.5000 0.5000 (multiplicity 1)
3 Se 0.0000 0.0000 0.5000 (multiplicity 1)
4 N 0.0000 0.5000 0.0000 (multiplicity 2)

Results
- E_form (uncorrected) (eV per atom) = 1.39

---

No. 2
## NaLi3Ga (PBEsol)

Data for NaLi3Ga after structural relaxation.

Unit cell a=4.9879 b=4.9879 c=4.9879 alpha=90.00 beta=90.00 gamma=90.00
Space group Pm-3m (No. 221)
Inequivalent atoms, fractional coordinates:
1 Na 0.0000 0.0000 0.0000 (multiplicity 1)
2 Li 0.0000 0.5000 0.5000 (multiplicity 3)
3 Ga 0.5000 0.5000 0.5000 (multiplicity 1)

Results
- formation enthalpy at 0 K (eV/atom) = 0.059

---

No. 3
## Na2Li3GaO4 (PBEsol)

Data for Na2Li3GaO4 after structural relaxation.

Unit cell a=7.9200 b=8.2151 c=6.4991 alpha=90.00 beta=90.00 gamma=90.00
Space group Pnnm (No. 58)
Inequivalent atoms, fractional coordinates:
1 Na 0.0000 0.0000 0.2412 (multiplicity 4)
2 Na 0.2413 0.2469 0.5000 (multiplicity 4)
3 Li 0.0149 0.6480 0.2552 (multiplicity 8)
4 Li 0.2350 0.5832 0.5000 (multiplicity 4)
5 Ga 0.2255 0.3756 0.0000 (multiplicity 4)
6 O 0.0485 0.2219 0.0000 (multiplicity 4)
7 O 0.0630 0.7747 0.5000 (multiplicity 4)
8 O 0.1967 0.4895 0.2425 (multiplicity 8)

Results
- E_form (uncorrected) (eV per atom) = -1.82

---

No. 4
## NaLi3Ga4Si8O24 (PBEsol)

Data for NaLi3Ga4Si8O24 after structural relaxation.

Unit cell a=11.6504 b=8.6354 c=9.5730 alpha=90.00 beta=121.21 gamma=90.00
Space group C2 (No. 5)
Inequivalent atoms, fractional coordinates:
1 Na 0.0000 0.0000 0.0000 (multiplicity 2)
2 Li 0.0000 0.4614 0.5000 (multiplicity 2)
3 Li 0.2496 0.4489 0.2501 (multiplicity 4)
4 Ga 0.0000 0.1070 0.5000 (multiplicity 2)
5 Ga 0.0000 0.6078 0.0000 (multiplicity 2)
6 Ga 0.2497 0.3047 0.7490 (multiplicity 4)
7 Si 0.0018 0.2969 0.2064 (multiplicity 4)
8 Si 0.0015 0.7982 0.7043 (multiplicity 4)
9 Si 0.2469 0.6144 0.5445 (multiplicity 4)
10 Si 0.2489 0.6145 0.9554 (multiplicity 4)
11 O 0.0401 0.4659 0.1731 (multiplicity 4)
12 O 0.0402 0.9688 0.6745 (multiplicity 4)
13 O 0.0528 0.2889 0.6650 (multiplicity 4)
14 O 0.0561 0.7870 0.1707 (multiplicity 4)
15 O 0.1091 0.2109 0.9633 (multiplicity 4)
16 O 0.1087 0.7165 0.4678 (multiplicity 4)
17 O 0.1405 0.1944 0.2832 (multiplicity 4)
18 O 0.1421 0.7008 0.7854 (multiplicity 4)
19 O 0.1950 0.6228 0.0842 (multiplicity 4)
20 O 0.1967 0.1213 0.5826 (multiplicity 4)
21 O 0.2077 0.4445 0.5750 (multiplicity 4)
22 O 0.2217 0.9420 0.0801 (multiplicity 4)

Results
- E_form (uncorrected) (eV per atom) = -2.50